Computed, not measured: a geometry-optimized K3Rb4Bi2 structure at the PBE level of DFT.

Output
- space-group type = C2/m, No. 12
- energy relative to the elements (eV/atom) = -0.22
- density of states at the Fermi level (states/eV per cell) = 2.95
- DFT total energy (eV/f.u.) = -16.87

a = 5.9988 Å, b = 7.0257 Å, c = 12.1033 Å
α = 75.26°, β = 90.00°, γ = 64.73°
Sites, in units of the cell vectors:
Bi1 0.3206 0.3589 0.7741
K1 0.0000 0.0000 0.0000
Rb1 0.3379 0.3242 0.1095
K2 0.3096 0.3806 0.4304
K3 0.6904 0.6194 0.5696
Rb2 0.6621 0.6758 0.8905
Bi2 0.6794 0.6411 0.2259
Rb3 0.9962 0.0075 0.6818
Rb4 0.0038 0.9925 0.3182